Entry 1:
Computed, not measured: a relaxed structure of TePBrN2 at the GGA-PBE level of DFT.

abc: 3.753 3.753 5.790
angles: 90.00 90.00 90.00
Atoms (fractional coordinates):
Te1 0.000 0.000 0.000
P1 0.000 0.000 0.500
Br1 0.500 0.500 0.000
N1 0.000 0.500 0.500
N2 0.500 0.000 0.500

## Properties
The uncorrected formation energy is 1257 meV/atom. The value obtained for the total energy is -0.3027 Ry per atom. The calculated volume is 81.6 Å³/cell. The value obtained for the total magnetic moment is 0.66 μB per formula unit. As for the space-group type: P4/mmm. The calculated density comes out at 5.43 g/cm³.

***

Entry 2:
Computed, not measured: a relaxed structure of TePBrN2 at the GGA-PBE level of DFT.

abc: 3.845 3.845 8.583
angles: 90.00 90.00 90.00
Atoms (fractional coordinates):
Te1 0.000 0.000 0.000
P1 0.500 0.500 0.000
Br1 0.000 0.000 0.500
N1 0.000 0.500 0.500
N2 0.500 0.000 0.500

## Properties
The uncorrected formation energy is 2133 meV/atom. The value obtained for the total energy is -0.2383 Ry per atom. The calculated volume is 126.9 Å³/cell. The value obtained for the total magnetic moment is 0.89 μB per formula unit. As for the space-group type: P4/mmm. The calculated density comes out at 3.49 g/cm³.

***

Entry 3:
Computed, not measured: a relaxed structure of PWBrN2 at the GGA-PBE level of DFT.

abc: 3.897 3.897 5.322
angles: 90.00 90.00 90.00
Atoms (fractional coordinates):
P1 0.000 0.000 0.000
W1 0.000 0.000 0.500
Br1 0.500 0.500 0.000
N1 0.000 0.500 0.500
N2 0.500 0.000 0.500

## Properties
The uncorrected formation energy is 539 meV/atom. The value obtained for the total energy is -0.4997 Ry per atom. The calculated volume is 80.8 Å³/cell. The value obtained for the total magnetic moment is 0.00 μB per formula unit. As for the space-group type: P4/mmm. The calculated density comes out at 6.63 g/cm³.

***

Entry 4:
Computed, not measured: a relaxed structure of PW2BrN at the GGA-PBE level of DFT.

abc: 4.750 4.750 3.414
angles: 90.00 90.00 90.00
Atoms (fractional coordinates):
P1 0.000 0.000 0.000
W1 0.000 0.500 0.000
W2 0.500 0.000 0.000
Br1 0.500 0.500 0.500
N1 0.000 0.000 0.500

## Properties
The uncorrected formation energy is 1522 meV/atom. The value obtained for the total energy is -0.4954 Ry per atom. The calculated volume is 77.0 Å³/cell. The value obtained for the total magnetic moment is 0.00 μB per formula unit. As for the space-group type: P4/mmm. The calculated density comes out at 10.62 g/cm³.

***

Entry 5:
Computed, not measured: a relaxed structure of Pa6Br15N at the GGA-PBE level of DFT.

abc: 9.656 9.656 9.656
angles: 109.47 109.47 109.47
Atoms (fractional coordinates):
Pa1 0.000 0.222 0.222
Pa2 0.000 0.778 0.778
Pa3 0.222 0.000 0.222
Pa4 0.222 0.222 0.000
Pa5 0.778 0.000 0.778
Pa6 0.778 0.778 0.000
Br1 0.000 0.253 0.747
Br2 0.000 0.500 0.500
Br3 0.000 0.747 0.253
Br4 0.253 0.000 0.747
Br5 0.253 0.253 0.507
Br6 0.253 0.507 0.253
Br7 0.253 0.747 0.000
Br8 0.493 0.747 0.747
Br9 0.500 0.000 0.500
Br10 0.500 0.500 0.000
Br11 0.507 0.253 0.253
Br12 0.747 0.000 0.253
Br13 0.747 0.253 0.000
Br14 0.747 0.493 0.747
Br15 0.747 0.747 0.493
N1 0.000 0.000 0.000

## Properties
The uncorrected formation energy is -1325 meV/atom. The value obtained for the total energy is -0.3994 Ry per atom. The calculated volume is 693.1 Å³/cell. The value obtained for the total magnetic moment is 4.25 μB per formula unit. As for the space-group type: Im-3m. The calculated density comes out at 6.23 g/cm³.

***

Entry 6:
Computed, not measured: a relaxed structure of PbBr2N2 at the GGA-PBE level of DFT.

abc: 5.452 5.452 5.452
angles: 117.54 117.54 94.32
Atoms (fractional coordinates):
Pb1 0.000 0.000 0.000
Br1 0.250 0.750 0.500
Br2 0.750 0.250 0.500
N1 0.425 0.425 0.000
N2 0.575 0.575 0.000

## Properties
The uncorrected formation energy is -356 meV/atom. The value obtained for the total energy is -0.3746 Ry per atom. The calculated volume is 118.5 Å³/cell. The value obtained for the total magnetic moment is 0.00 μB per formula unit. As for the space-group type: I4/mmm. The calculated density comes out at 5.54 g/cm³.

***

Entry 7:
Computed, not measured: a relaxed structure of PbBr2N at the GGA-PBE level of DFT.

abc: 5.290 5.290 5.290
angles: 60.00 60.00 60.00
Atoms (fractional coordinates):
Pb1 0.000 0.000 0.000
Br1 0.250 0.250 0.250
Br2 0.750 0.750 0.750
N1 0.500 0.500 0.500

## Properties
The uncorrected formation energy is 648 meV/atom. The value obtained for the total energy is -0.2350 Ry per atom. The calculated volume is 104.7 Å³/cell. The value obtained for the total magnetic moment is 3.00 μB per formula unit. As for the space-group type: Fm-3m. The calculated density comes out at 6.04 g/cm³.

***

Entry 8:
Computed, not measured: a relaxed structure of Pb5Br12N2 at the GGA-PBE level of DFT.

abc: 7.348 8.449 11.460
angles: 94.08 96.72 100.21
Atoms (fractional coordinates):
Pb1 0.000 0.000 0.000
Pb2 0.293 0.636 0.568
Pb3 0.346 0.657 0.123
Pb4 0.654 0.343 0.877
Pb5 0.707 0.364 0.432
Br1 0.006 0.045 0.370
Br2 0.070 0.531 0.349
Br3 0.194 0.744 0.897
Br4 0.282 0.300 0.946
Br5 0.312 0.982 0.204
Br6 0.416 0.318 0.601
Br7 0.584 0.682 0.399
Br8 0.688 0.018 0.796
Br9 0.718 0.700 0.054
Br10 0.806 0.256 0.103
Br11 0.930 0.469 0.651
Br12 0.994 0.955 0.630
N1 0.149 0.900 0.536
N2 0.851 0.100 0.464

## Properties
The uncorrected formation energy is -321 meV/atom. The value obtained for the total energy is -0.2374 Ry per atom. The calculated volume is 692.3 Å³/cell. The value obtained for the total magnetic moment is 1.90 μB per formula unit. As for the space-group type: P-1. The calculated density comes out at 4.85 g/cm³.